(1)
VASP calculation (GGA-PBE) on an optimized crystal structure of Ca3Pu4Te8.

Results
The value obtained for the uncorrected formation energy is -1236 meV/atom. The value obtained for the density of states at the Fermi level is 4.699 states/eV per atom. Its total DFT energy (no corrections) is -107.00 eV per cell.

Cell lengths 8.963, 8.969, 8.969 Å; angles 90.28, 119.81, 119.81 degrees
Each line ends with the local moment (μB).
Atoms (fractional coordinates):
Ca (0.500, 0.500, 0.000)  0.00
Ca (0.500, 0.000, 0.500)  0.00
Ca (0.500, 0.500, 0.500)  0.01
Pu (0.500, 0.000, 0.000)  -5.38
Pu (0.000, 0.500, 0.000)  5.41
Pu (0.000, 0.000, 0.000)  -5.27
Pu (0.000, 0.000, 0.500)  5.41
Te (0.495, 0.246, 0.246)  0.06
Te (0.000, 0.750, 0.250)  -0.03
Te (0.997, 0.249, 0.249)  0.00
Te (0.500, 0.750, 0.250)  -0.02
Te (0.500, 0.250, 0.750)  -0.02
Te (0.003, 0.751, 0.751)  0.00
Te (0.000, 0.250, 0.750)  -0.03
Te (0.505, 0.754, 0.754)  0.06

(2)
VASP calculation (GGA-PBE) on an optimized crystal structure of TaIn2W.

Results
The calculation puts the formation energy at 467 meV/atom. The value obtained for the density of states at the Fermi level is 0.393 states/eV per atom. Its total DFT energy (no corrections) is -28.41 eV per cell. The excess energy over the best structure of this formula in the dataset is 57 kJ/mol of formula units.

Cell lengths 5.265, 5.265, 5.256 Å; angles 84.13, 84.13, 32.05 degrees
Atoms (fractional coordinates):
In (0.996, 0.996, 0.001)
In (0.752, 0.752, 0.750)
Ta (0.501, 0.501, 0.490)
W (0.251, 0.251, 0.259)